Crystalline Hf6MoIr5 at its relaxed geometry. Source: Alexandria via LeMat-Bulk, functional PBE.

## Properties
The total moment comes out at 0.00 Bohr magnetons per cell. As for the formation energy from the elements: -10.2 eV/f.u.

abc: 4.616 6.609 7.300
angles: 90.00 71.57 90.00
Positions (direct):
Ir 0.000 0.500 0.000
Ir 0.668 0.000 0.665
Ir 0.668 0.500 0.664
Ir 0.332 0.500 0.336
Ir 0.332 0.000 0.335
Mo 0.000 0.000 0.000
Hf 0.500 0.749 0.000
Hf 0.166 0.252 0.668
Hf 0.500 0.251 0.000
Hf 0.166 0.748 0.668
Hf 0.834 0.748 0.332
Hf 0.834 0.252 0.332



Crystalline AuIN2 at its relaxed geometry. Source: Alexandria via LeMat-Bulk, functional PBE.

## Properties
The total moment comes out at 0.00 Bohr magnetons per cell. For the offset from the most stable computed form, the calculation gives 1318 meV/atom.

abc: 6.632 6.632 6.632
angles: 30.22 30.22 30.22
Positions (direct):
N 0.117 0.117 0.117
N 0.883 0.883 0.883
I 0.000 0.000 0.000
Au 0.500 0.500 0.500



Crystalline Ti5TcPt4 at its relaxed geometry. Source: Alexandria via LeMat-Bulk, functional PBE.

## Properties
The total moment comes out at 0.00 Bohr magnetons per cell. As for the formation energy from the elements: -8.0 eV/f.u.

abc: 3.297 3.297 14.466
angles: 90.00 90.00 90.00
Positions (direct):
Ti 0.500 0.500 0.902
Ti 0.500 0.500 0.500
Ti 0.500 0.500 0.302
Ti 0.500 0.500 0.698
Ti 0.500 0.500 0.098
Pt 0.000 0.000 0.204
Pt 0.000 0.000 0.796
Pt 0.000 0.000 0.598
Pt 0.000 0.000 0.402
Tc 0.000 0.000 0.000



Crystalline Sm11Ho4Sc9 at its relaxed geometry. Source: Alexandria via LeMat-Bulk, functional PBE.

## Properties
The total moment comes out at 0.00 Bohr magnetons per cell. As for the formation energy from the elements: 2.5 eV/f.u.

abc: 3.573 14.795 14.795
angles: 113.34 90.00 90.00
Positions (direct):
Ho 0.500 0.557 0.759
Ho 0.500 0.759 0.557
Ho 0.500 0.443 0.241
Ho 0.500 0.241 0.443
Sc 0.500 0.066 0.212
Sc 0.500 0.368 0.832
Sc 0.500 0.212 0.066
Sc 0.500 0.832 0.368
Sc 0.500 0.934 0.788
Sc 0.500 0.500 0.500
Sc 0.500 0.788 0.934
Sc 0.500 0.632 0.168
Sc 0.500 0.168 0.632
Sm 0.000 0.000 0.000
Sm 0.000 0.634 0.366
Sm 0.000 0.839 0.161
Sm 0.000 0.401 0.038
Sm 0.000 0.038 0.401
Sm 0.000 0.285 0.285
Sm 0.000 0.366 0.634
Sm 0.000 0.715 0.715
Sm 0.000 0.161 0.839
Sm 0.000 0.599 0.962
Sm 0.000 0.962 0.599